The following is a DFT calculation (GGA-PBE) of Bi3AuO7 after structural relaxation.

Unit cell a=6.6845 b=6.6845 c=7.7705 alpha=90.00 beta=90.00 gamma=108.58
With the nearest neighbours (Å) after each atom.
Fractional positions:
Bi 0.0205 0.0205 0.0000  6 O 2.42-2.54
Bi 0.0305 0.5010 0.2546  7 O 2.28-2.54
Bi 0.4990 0.9695 0.2454  7 O 2.28-2.54
Bi 0.5010 0.0305 0.7454  7 O 2.28-2.54
Bi 0.9695 0.4990 0.7546  7 O 2.28-2.54
Bi 0.9795 0.9795 0.5000  6 O 2.42-2.54
Au 0.4984 0.4984 0.0000  6 O 2.06-2.10
Au 0.5016 0.5016 0.5000  6 O 2.06-2.10
O 0.1322 0.8678 0.7500  4 Bi 2.36-2.42
O 0.1389 0.8611 0.2500  4 Bi 2.28-2.46
O 0.1736 0.4185 0.9729  1 Au 2.07
O 0.1813 0.4378 0.5300  1 Au 2.06
O 0.4185 0.1736 0.0271  1 Au 2.07
O 0.4271 0.5729 0.2500  2 Au 2.10
O 0.4378 0.1813 0.4700  1 Au 2.06
O 0.5622 0.8187 0.9700  1 Au 2.06
O 0.5729 0.4271 0.7500  2 Au 2.10
O 0.5815 0.8264 0.5271  1 Au 2.07
O 0.8187 0.5622 0.0300  1 Au 2.06
O 0.8264 0.5815 0.4729  1 Au 2.07
O 0.8611 0.1389 0.7500  4 Bi 2.28-2.46
O 0.8678 0.1322 0.2500  4 Bi 2.36-2.42

Values from the calculation:
As for the energy relative to the elements, uncorrected: -0.8019 eV/atom. Its crystal system is orthorhombic.

The following is a DFT calculation (GGA-PBE) of Mn2MoP after structural relaxation.

Unit cell a=2.7107 b=4.1280 c=4.5031 alpha=90.00 beta=92.82 gamma=90.00
With the nearest neighbours (Å) after each atom.
Fractional positions:
Mn 0.1519 0.0000 0.2594  2 Mn 2.36-2.44, 2 P 2.38, 2 Mo 2.57
Mn 0.8481 0.0000 0.7406  2 Mn 2.36-2.44, 2 P 2.38, 2 Mo 2.57
Mo 0.5000 0.5000 0.0000  4 P 2.57-2.68, 4 Mn 2.57, 2 Mo 2.71
P 0.0000 0.5000 0.5000  4 Mn 2.38, 2 Mo 2.57

Values from the calculation:
Its formation energy is -28 meV/atom. Its crystal system is monoclinic.

Number 1: N(E_F) 4.41 states/eV/f.u.. Number 2: N(E_F) 3.77 states/eV/f.u..